PmP2PbO8 | PBE | relaxed

Output
Space-group type: No. 147
Uncorrected formation energy: -2.26 eV per atom
Total energy: -7.171 eV/atom
V: 16.255 A^3/atom

The structure in POSCAR format:
```
PmP2PbO8
1.0
5.476 0.000 0.000
-2.738 4.743 0.000
0.000 0.000 7.510
Pm P Pb O
1 2 1 8
Cartesian
0.000 0.000 0.000
0.000 3.162 2.103
2.738 1.581 5.407
0.000 0.000 3.755
-0.010 1.701 1.582
-1.260 3.901 1.582
0.000 3.162 3.650
1.468 0.859 5.928
1.270 3.884 1.582
2.738 1.581 3.861
3.998 0.842 5.928
2.748 3.041 5.928
```